# 1
CuRh2S4 | Alexandria | SCAN | single point on PBEsol structure; D(E_F) = 8.96 states/eV per cell; E_form (uncorrected) = -0.58 eV per atom
1.0
0.000 4.858 4.858
4.858 0.000 4.858
4.858 4.858 0.000
Cu Rh S
2 4 8
Direct
0.125 0.125 0.125 Cu
0.875 0.875 0.875 Cu
0.000 0.500 0.500 Rh
0.500 0.000 0.500 Rh
0.500 0.500 0.000 Rh
0.500 0.500 0.500 Rh
0.259 0.259 0.259 S
0.259 0.259 0.723 S
0.259 0.723 0.259 S
0.277 0.741 0.741 S
0.723 0.259 0.259 S
0.741 0.277 0.741 S
0.741 0.741 0.277 S
0.741 0.741 0.741 S

=====

# 2
CuSbRh | Alexandria | SCAN | single point on PBEsol structure; D(E_F) = 1.08 states/eV per cell; E_form (uncorrected) = -0.17 eV per atom
1.0
-1.691 1.691 4.020
1.691 -1.691 4.020
1.691 1.691 -4.020
Cu Sb Rh
1 1 1
Direct
0.000 0.000 0.000 Cu
0.325 0.325 0.000 Sb
0.663 0.663 0.000 Rh

=====

# 3
CuSb2Rh | Alexandria | SCAN | single point on PBEsol structure; D(E_F) = 1.54 states/eV per cell; E_form (uncorrected) = 0.05 eV per atom
1.0
3.184 0.000 0.000
0.000 3.199 0.000
-0.799 0.000 7.130
Cu Sb Rh
1 2 1
Direct
0.000 0.000 0.000 Cu
0.445 0.500 0.263 Sb
0.555 0.500 0.737 Sb
0.000 0.000 0.500 Rh

=====

# 4
Cu2SbRh | Alexandria | SCAN | single point on PBEsol structure; D(E_F) = 1.61 states/eV per cell; E_form (uncorrected) = -0.05 eV per atom
1.0
0.000 3.059 3.059
3.059 0.000 3.059
3.059 3.059 0.000
Cu Sb Rh
2 1 1
Direct
0.000 0.000 0.000 Cu
0.250 0.250 0.250 Cu
0.500 0.500 0.500 Sb
0.750 0.750 0.750 Rh

=====

# 5
CuSb2Rh | Alexandria | SCAN | single point on PBEsol structure; D(E_F) = 1.11 states/eV per cell; E_form (uncorrected) = 0.06 eV per atom
1.0
0.000 3.290 3.290
3.290 0.000 3.290
3.290 3.290 0.000
Cu Sb Rh
1 2 1
Direct
0.000 0.000 0.000 Cu
0.250 0.250 0.250 Sb
0.750 0.750 0.750 Sb
0.500 0.500 0.500 Rh

=====

# 6
Ta2CuSbRh | Alexandria | SCAN | single point on PBEsol structure; D(E_F) = 4.74 states/eV per cell; E_form (uncorrected) = 1.20 eV per atom
1.0
4.600 0.000 0.000
0.000 4.600 0.000
0.000 0.000 4.503
Ta Cu Sb Rh
2 1 1 1
Direct
0.000 0.500 0.000 Ta
0.500 0.000 0.000 Ta
0.000 0.000 0.000 Cu
0.000 0.000 0.500 Sb
0.500 0.500 0.500 Rh

=====

What did the second record say?
CuSbRh | Alexandria | SCAN | single point on PBEsol structure; D(E_F) = 1.08 states/eV per cell; E_form (uncorrected) = -0.17 eV per atom
1.0
-1.691 1.691 4.020
1.691 -1.691 4.020
1.691 1.691 -4.020
Cu Sb Rh
1 1 1
Direct
0.000 0.000 0.000 Cu
0.325 0.325 0.000 Sb
0.663 0.663 0.000 Rh

=====

Repeat the third record exactly.
CuSb2Rh | Alexandria | SCAN | single point on PBEsol structure; D(E_F) = 1.54 states/eV per cell; E_form (uncorrected) = 0.05 eV per atom
1.0
3.184 0.000 0.000
0.000 3.199 0.000
-0.799 0.000 7.130
Cu Sb Rh
1 2 1
Direct
0.000 0.000 0.000 Cu
0.445 0.500 0.263 Sb
0.555 0.500 0.737 Sb
0.000 0.000 0.500 Rh

=====

Among the records above, which one has the lowest D(E_F)?
CuSbRh

=====

Look up the E_form (uncorrected) of the second one.
-0.17 eV per atom